# Tb5Pr2Er PBE relaxed
data_Tb5Pr2Er
_chemical_formula_sum 'Tb10 Pr4 Er2'
_space_group_name_H-M_alt 'I 4/m m m'
_space_group_IT_number 139
_space_group_name_Hall '-I 4 2'
_cell_length_a 5.090
_cell_length_b 5.090
_cell_length_c 20.250
_cell_angle_alpha 90.00
_cell_angle_beta 90.00
_cell_angle_gamma 90.00
loop_
_atom_site_label
_atom_site_type_symbol
_atom_site_fract_x
_atom_site_fract_y
_atom_site_fract_z
Tb1 Tb 0.000 0.000 0.000
Tb2 Tb 0.000 0.500 0.122
Pr1 Pr 0.000 0.000 0.250
Er1 Er 0.000 0.000 0.500
# Mass density   7.87 g/cm3
# Calculated total energy   -0.341 Ry/atom
# Calculated formation energy   0.02 eV per atom
# Total magnetic moment   0.0 μB per formula unit
# Distance to the lowest polymorph of the same formula   0.004 eV per atom
# Crystal system   tetragonal